Os2WI: optimized geometry, PBE-GGA.

Geometry as POSCAR:
```
Os2WI
1.0
5.962 0.000 0.000
0.000 5.962 0.000
0.000 0.000 11.036
Os W I
8 4 4
Cartesian
1.362 1.490 1.379
1.490 4.343 4.138
1.490 4.600 9.656
1.619 1.490 6.897
4.343 4.471 6.897
4.471 1.362 9.656
4.471 1.619 4.138
4.600 4.471 1.379
0.000 0.000 0.000
0.000 2.981 2.759
2.981 0.000 8.277
2.981 2.981 5.518
0.000 0.000 5.518
0.000 2.981 8.277
2.981 0.000 2.759
2.981 2.981 0.000
```

Energy above the lowest structure with this stoichiometry   0 meV/atom
Uncorrected energy   -7.799 eV/atom
Raw formation energy   5.77 eV/f.u.
Calculated volume   24.51 Å³ per atom
Space-group type   I-42d (122)